VASP calculation (PBE with a Hubbard U) on an optimized crystal structure of MoHPdF2.

Output
Its raw total energy is -3.894 eV/atom.

Geometry as CIF:
```
data_MoHPdF2
_chemical_formula_sum 'Mo1 H1 Pd1 F2'
_space_group_name_H-M_alt 'P 4/m m m'
_space_group_IT_number 123
_space_group_name_Hall '-P 4 2'
_cell_length_a 3.983
_cell_length_b 3.983
_cell_length_c 5.688
_cell_angle_alpha 90.00
_cell_angle_beta 90.00
_cell_angle_gamma 90.00
loop_
_atom_site_label
_atom_site_type_symbol
_atom_site_fract_x
_atom_site_fract_y
_atom_site_fract_z
Mo1 Mo 0.000 0.000 0.000
H1 H 0.500 0.500 0.000
Pd1 Pd 0.000 0.000 0.500
F1 F 0.000 0.500 0.500
```